No. 1
Density functional theory data (PBE) for a relaxed structure of Ac8Tb5Pr.

Cell and atoms, written as POSCAR:
```
Ac8Tb5Pr
1.0
8.6506 0.0001 -2.7003
-4.4459 7.2280 -3.1795
0.2413 -0.0001 9.0590
Ac Tb Pr
8 5 1
direct
0.0791 0.7417 0.4743
0.3412 0.2711 0.4340
0.5257 0.6048 0.2674
0.6625 0.3952 0.9209
0.5660 0.9071 0.8371
0.1629 0.7289 0.0701
0.7326 0.2583 0.3375
0.9299 0.0929 0.6589
0.8753 0.9053 0.1750
0.0300 0.2997 0.1247
0.2697 0.0947 0.9700
0.5000 0.0000 0.5000
0.8251 0.7004 0.7303
0.2500 0.5000 0.7500
```

No. 2
Density functional theory data (PBE) for a relaxed structure of Ac2Tb5Pr12.

Values from the calculation:
Excess energy over the best structure of this formula in the dataset: 16 kJ/mol of formula units

Cell and atoms, written as POSCAR:
```
Ac2Tb5Pr12
1.0
10.2034 0.0000 0.0000
-5.1017 8.3614 -0.3711
0.0000 0.3373 8.1133
Pr Ac Tb
12 2 5
direct
0.0359 0.6098 0.7927
0.4485 0.8970 0.7112
0.3787 0.2135 0.6065
0.1679 0.3358 0.8751
0.8348 0.2135 0.6065
0.8321 0.6642 0.1249
0.5738 0.6098 0.7927
0.6213 0.7865 0.3935
0.9641 0.3902 0.2073
0.1652 0.7865 0.3935
0.5515 0.1030 0.2888
0.4262 0.3902 0.2073
0.7901 0.0000 0.0000
0.2099 0.0000 0.0000
0.0000 0.0000 0.5000
0.6466 0.2932 0.9151
0.3534 0.7068 0.0849
0.2486 0.4971 0.5074
0.7514 0.5029 0.4926
```

No. 3
Density functional theory data (PBE) for a relaxed structure of Ac4TbPr.

Values from the calculation:
Excess energy over the best structure of this formula in the dataset: 177 kJ/mol of formula units

Cell and atoms, written as POSCAR:
```
Ac4TbPr
1.0
-1.5727 5.8205 -3.8750
-6.5544 2.8777 0.3546
-0.9706 6.3138 3.2497
Tb Ac Pr
1 4 1
direct
0.0000 0.0000 0.0000
0.6256 0.1233 0.6256
0.1233 0.6256 0.6256
0.6256 0.6256 0.1233
0.6256 0.6256 0.6256
0.2500 0.2500 0.2500
```

no.,total magnetization (μB per formula unit),E_tot (eV per atom)
1,0.00,-4.089
2,0.00,-4.553
3,0.00,-3.964